Density functional theory data (PBE with a Hubbard U) for crystalline Na2ZnCoO4 at its relaxed geometry.

Unit cell a=10.3451 b=8.9625 c=6.3894 alpha=82.91 beta=59.29 gamma=37.80
Positions (direct):
Na  0.0690  0.0690  0.6810
Na  0.3190  0.3190  0.9310
Na  0.6810  0.6810  0.0690
Na  0.9310  0.9310  0.3190
Zn  0.1250  0.1250  0.1250
Zn  0.8750  0.8750  0.8750
Co  0.3750  0.3750  0.3750
Co  0.6250  0.6250  0.6250
O  0.0100  0.6706  0.5329
O  0.2865  0.5329  0.6706
O  0.3294  0.9900  0.7135
O  0.4671  0.7135  0.9900
O  0.5329  0.2865  0.0100
O  0.6706  0.0100  0.2865
O  0.7135  0.4671  0.3294
O  0.9900  0.3294  0.4671

Summary:
Raw total energy in eV per atom: -4.608
Volume in Å³/atom: 16.523